This record from Alexandria describes a geometry-optimized LaCr2Ru structure. The functional is PBE-GGA.

abc: 4.5519 4.5519 16.5892
angles: 90.00 90.00 90.00
Space group I4_1/amd (No. 141, origin choice 2)
One atom of each set of equivalent atoms:
La1 0.0000 0.2500 0.3750 [4 per cell]
Cr1 0.0000 0.0000 0.0000 [8 per cell]
Ru1 0.0000 0.2500 0.8750 [4 per cell]

Computed properties:
Energy of formation from the pure elements: 0.721 eV per atom
Calculated total energy: -122.27 eV/cell

=====

This record from Alexandria describes a geometry-optimized TaPd4Au structure. The functional is PBE-GGA.

abc: 4.9066 8.4726 4.8607
angles: 90.00 108.42 90.00
Space group C2/m (No. 12)
One atom of each set of equivalent atoms:
Ta1 0.0000 0.0000 0.0000 [2 per cell]
Pd1 0.0000 0.1629 0.5000 [4 per cell]
Pd2 0.0000 0.3331 0.0000 [4 per cell]
Au1 0.0000 0.5000 0.5000 [2 per cell]

Computed properties:
Energy of formation from the pure elements: -0.279 eV per atom
Calculated total energy: -75.15 eV/cell

=====

This record from Alexandria describes a geometry-optimized Ca2ErUO6 structure. The functional is PBE-GGA.

abc: 5.8441 5.8441 15.0284
angles: 90.00 90.00 120.00
Space group R3 (No. 146, hexagonal axes)
One atom of each set of equivalent atoms:
Ca1 0.0000 0.0000 0.0000 [3 per cell]
Ca2 0.0000 0.0000 0.4966 [3 per cell]
Er1 0.0000 0.0000 0.2189 [3 per cell]
U1 0.0000 0.0000 0.7149 [3 per cell]
O1 0.0592 0.3478 0.7854 [9 per cell]
O2 0.0651 0.7015 0.2889 [9 per cell]

Computed properties:
Calculated total energy: -247.84 eV/cell
Uncorrected formation energy: -3.301 eV per atom

=====

Q: Which value of calculated total energy does entry 1 give?
A: -122.27 eV/cell

=====

Q: Look up the calculated total energy of the second one.
A: -75.15 eV/cell

=====

Q: The highest calculated total energy belongs to which entry?
A: TaPd4Au

=====

Q: Which formula does entry 2 have?
A: TaPd4Au